1.
Here is LaTaSb2 after structural relaxation from the Alexandria database. Energies are from GGA-PBEsol.

```
LaTaSb2
1.0
5.1985 0.0000 0.0000
0.0000 5.1985 0.0000
0.0000 0.0000 3.5283
La Ta Sb
1 1 2
Direct
0.0000 0.0000 0.0000
0.5000 0.5000 0.0000
0.0000 0.5000 0.5000
0.5000 0.0000 0.5000
```

Density in g/cm³: 9.8
ΔE_f (raw) in eV/atom: -0.13



2.
Here is ZnIrC3 after structural relaxation from the Alexandria database. Energies are from GGA-PBEsol.

```
ZnIrC3
1.0
3.7944 0.0000 0.0000
0.0000 3.7944 0.0000
0.0000 0.0000 3.7944
Zn Ir C
1 1 3
Direct
0.0000 0.0000 0.0000
0.5000 0.5000 0.5000
0.0000 0.0000 0.5000
0.0000 0.5000 0.0000
0.5000 0.0000 0.0000
```

Density in g/cm³: 8.9
E_form in eV/atom: 3.07



3.
Here is CuSiRh2 after structural relaxation from the Alexandria database. Energies are from GGA-PBEsol.

```
CuSiRh2
1.0
4.1426 0.0000 0.0000
0.0000 4.1426 0.0000
0.0000 0.0000 2.8907
Cu Si Rh
1 1 2
Direct
0.0000 0.0000 0.0000
0.5000 0.5000 0.0000
0.0000 0.5000 0.5000
0.5000 0.0000 0.5000
```

Density in g/cm³: 10.0
ΔE_f (raw) in eV/atom: -0.49